This record from Alexandria via LeMat-Bulk describes a relaxed structure of SiSNF2. The functional is PBE.

The structure in POSCAR format:
```
SiSNF2
1.0
3.635 0.000 0.000
0.000 3.635 0.000
0.000 0.000 3.844
Si S N F
1 1 1 2
Cartesian
0.000 0.000 0.000
1.817 1.817 1.922
0.000 0.000 1.922
0.000 1.817 0.000
1.817 0.000 0.000
```

Properties
DOS(E_F) (states/eV/cell): 2.5
ΔE to the lowest computed polymorph (meV/atom): 0
Space-group type: P4/mmm
E_form (uncorrected) (eV/atom): -0.41